# 1
The following is a PBE-GGA calculation of Sr2HfPaN4 after structural relaxation, from Alexandria.

extended XYZ file:
```
8
Lattice="3.5011 0.0000 0.0000 0.0000 5.9815 0.1141 0.0000 -2.0800 5.9353" Properties=species:S:1:pos:R:3 pbc="T T T"
Hf 0.0000 0.0000 0.0000
N 1.7506 0.9609 1.1849
N 0.0000 4.0225 1.2448
N 1.7506 2.9406 4.8645
Pa 1.7506 2.9908 0.0570
N 0.0000 -0.1210 4.8046
Sr 1.7506 -1.0400 2.9677
Sr 0.0000 1.9508 3.0247
```

uncorrected formation energy	-1.374	eV/atom
crystal system	monoclinic
DFT total energy	-8.388	eV/atom

# 2
The following is a PBE-GGA calculation of GaSnO after structural relaxation, from Alexandria.

extended XYZ file:
```
6
Lattice="4.5030 0.8488 -0.0889 2.9848 3.4768 -0.0889 2.0739 1.1981 9.8008" Properties=species:S:1:pos:R:3 pbc="T T T"
Ga 6.9586 4.0199 5.5349
Sn 4.0987 2.3678 2.4775
O 5.0828 2.9363 8.2908
Ga 8.8782 5.1289 6.9664
O 3.2681 1.8879 4.3882
Sn 2.1801 1.2594 0.4015
```

uncorrected formation energy	-0.734	eV/atom
crystal system	monoclinic
DFT total energy	-4.730	eV/atom

# 3
The following is a PBE-GGA calculation of Hf2BeCl after structural relaxation, from Alexandria.

extended XYZ file:
```
8
Lattice="-2.6321 3.1267 -3.5298 -3.9181 -3.6995 -0.3553 -6.1883 2.3647 2.5781" Properties=species:S:1:pos:R:3 pbc="T T T"
Hf -3.5754 1.9564 -1.4631
Hf -10.2141 1.4221 -1.4515
Cl -6.0478 2.6025 -1.4471
Be -3.2751 -0.2864 -1.9425
Be -6.6907 -0.8106 0.1401
Hf -4.4314 -1.2036 -0.1616
Hf -7.2561 1.4090 0.4623
Cl 0.0000 0.0000 0.0000
```

uncorrected formation energy	0.400	eV/atom
crystal system	tetragonal
DFT total energy	-5.970	eV/atom

# 4
The following is a PBE-GGA calculation of CsCa2TaI after structural relaxation, from Alexandria.

extended XYZ file:
```
5
Lattice="6.4707 0.0000 0.0000 0.0000 6.3576 0.0000 0.0000 0.0000 6.4707" Properties=species:S:1:pos:R:3 pbc="T T T"
I 0.0000 3.1788 0.0000
Ta 3.2353 3.1788 3.2353
Ca 0.0000 0.0000 3.2353
Cs 0.0000 0.0000 0.0000
Ca 3.2353 0.0000 0.0000
```

uncorrected formation energy	1.687	eV/atom
crystal system	tetragonal
DFT total energy	-1.965	eV/atom

# 5
The following is a PBE-GGA calculation of TiBr2 after structural relaxation, from Alexandria.

extended XYZ file:
```
12
Lattice="-1.0886 -3.2160 0.4950 2.7095 -0.0540 5.6073 -12.5082 5.1718 6.0939" Properties=species:S:1:pos:R:3 pbc="T T T"
Br -5.6261 -0.3314 3.3122
Br -5.2612 2.2331 8.8840
Br -0.4385 -1.9431 4.2486
Br -10.4487 3.8449 7.9476
Ti -5.7062 1.7743 4.9247
Ti -0.3262 -2.4130 1.4426
Ti -5.1811 0.1275 7.2715
Br -7.5497 0.8119 6.5099
Br -1.6324 -0.1484 1.3919
Br -9.2548 2.0501 10.8043
Br -3.3376 1.0898 5.6863
Ti -10.5611 4.3148 10.7536
```

uncorrected formation energy	-1.129	eV/atom
crystal system	orthorhombic
DFT total energy	-4.876	eV/atom

# 6
The following is a PBE-GGA calculation of CsK2HgTe after structural relaxation, from Alexandria.

extended XYZ file:
```
5
Lattice="6.6831 0.0000 0.0000 0.0000 6.6831 0.0000 0.0000 0.0000 7.4673" Properties=species:S:1:pos:R:3 pbc="T T T"
K 3.3416 0.0000 0.0000
Te 0.0000 0.0000 0.0000
K 0.0000 3.3416 0.0000
Cs 0.0000 0.0000 3.7336
Hg 3.3416 3.3416 3.7336
```

uncorrected formation energy	-0.531	eV/atom
crystal system	tetragonal
DFT total energy	-1.829	eV/atom

# 7
The following is a PBE-GGA calculation of LiZr3Nb after structural relaxation, from Alexandria.

extended XYZ file:
```
5
Lattice="5.1729 0.0000 0.0000 0.0000 5.1729 0.0000 0.0000 0.0000 5.1729" Properties=species:S:1:pos:R:3 pbc="T T T"
Zr 0.0000 2.5864 0.0000
Nb 0.0000 0.0000 0.0000
Zr 2.5864 0.0000 0.0000
Li 2.5864 2.5864 2.5864
Zr 0.0000 0.0000 2.5864
```

crystal system	cubic
DFT total energy	-6.649	eV/atom
formation enthalpy at 0 K	0.877	eV/atom

# 8
The following is a PBE-GGA calculation of NdGa2Co2Si after structural relaxation, from Alexandria.

extended XYZ file:
```
6
Lattice="-1.7475 -2.9334 2.5473 2.8082 0.9764 3.0510 -3.5647 3.8914 2.0357" Properties=species:S:1:pos:R:3 pbc="T T T"
Co 1.4041 0.4882 1.5255
Co -0.8738 -1.4667 1.2736
Nd -1.7824 1.9457 1.0179
Ga -0.3862 0.0219 3.3225
Si 0.0000 0.0000 0.0000
Ga -2.1179 1.9124 4.3115
```

uncorrected formation energy	-0.359	eV/atom
crystal system	tetragonal
DFT total energy	-5.435	eV/atom

# 9
The following is a PBE-GGA calculation of NbBi2Ru after structural relaxation, from Alexandria.

extended XYZ file:
```
8
Lattice="7.9515 0.0000 0.0000 0.0000 7.9515 0.0000 3.9757 3.9757 2.9694" Properties=species:S:1:pos:R:3 pbc="T T T"
Ru 7.9515 3.9757 1.4847
Bi 6.2620 1.9879 0.7424
Nb 3.9757 3.9757 0.0000
Bi 1.6895 5.9636 0.7424
Ru 0.0000 0.0000 0.0000
Bi 5.9636 5.6652 2.2271
Nb 3.9757 7.9515 1.4847
Bi 9.9393 10.2377 2.2271
```

crystal system	tetragonal
DFT total energy	-5.969	eV/atom
formation enthalpy at 0 K	0.808	eV/atom

# 10
The following is a PBE-GGA calculation of Ca2CuC2O2 after structural relaxation, from Alexandria.

extended XYZ file:
```
7
Lattice="3.8010 0.0000 0.0000 0.0000 3.8010 0.0000 0.0000 0.0000 6.9209" Properties=species:S:1:pos:R:3 pbc="T T T"
Ca 1.9005 1.9005 1.9057
O 0.0000 1.9005 3.4604
O 1.9005 0.0000 3.4604
Ca 1.9005 1.9005 5.0152
Cu 0.0000 0.0000 3.4604
C 0.0000 0.0000 6.2890
C 0.0000 0.0000 0.6319
```

uncorrected formation energy	-0.904	eV/atom
crystal system	tetragonal
DFT total energy	-6.113	eV/atom

# 11
The following is a PBE-GGA calculation of Pr3SmTl2 after structural relaxation, from Alexandria.

extended XYZ file:
```
12
Lattice="5.3048 0.0000 0.0000 0.0000 6.9352 0.0000 0.0000 0.0000 10.4098" Properties=species:S:1:pos:R:3 pbc="T T T"
Tl 0.0000 5.5112 3.8040
Sm 2.6524 0.3263 4.7587
Pr 0.0000 6.5853 0.4442
Pr 2.6524 1.2750 8.4750
Pr 0.0000 2.1993 3.3200
Pr 0.0000 5.6670 7.0898
Pr 2.6524 4.7426 1.9348
Tl 0.0000 2.0436 6.6058
Pr 0.0000 3.1177 9.9656
Tl 2.6524 1.4410 1.4327
Sm 2.6524 3.7939 5.6511
Tl 2.6524 4.9086 8.9771
```

crystal system	orthorhombic
DFT total energy	-4.237	eV/atom
formation enthalpy at 0 K	-0.272	eV/atom

# 12
The following is a PBE-GGA calculation of CeInAu3 after structural relaxation, from Alexandria.

extended XYZ file:
```
10
Lattice="4.6455 0.0000 0.0000 0.0000 3.4981 -0.6688 0.0000 0.8282 13.8137" Properties=species:S:1:pos:R:3 pbc="T T T"
In 3.4841 1.0850 5.6747
Au 1.1614 1.9262 10.0740
In 1.1614 3.2413 7.4701
Ce 1.1614 0.3937 2.0592
Au 3.4841 1.6156 8.4495
Ce 3.4841 3.9326 11.0856
Au 3.4841 2.4002 3.0708
Au 3.4841 1.8861 0.3824
Au 1.1614 2.4402 12.7624
Au 1.1614 2.7108 4.6953
```

crystal system	orthorhombic
DFT total energy	-4.190	eV/atom
formation enthalpy at 0 K	-0.489	eV/atom

> What is the DFT total energy in the ninth record?

-5.969 eV/atom